Below is crystalline Ce2ErCu2Ge2 at its relaxed geometry, with properties calculated at the GGA-PBE level.

The formation energy comes out at -505 meV/atom. For the final energy, the calculation gives -112.2 eV/cell. The total moment is 0.1729 μB per atom.

The structure belongs to space group R-3m (No. 166, hexagonal axes); the cell edges are 4.1623, 4.1623 and 27.8296 Å and the angles 90.00°, 90.00° and 120.00°. The distinct sites, in fractional coordinates, are Ce at (0.0000, 0.0000, 0.1387), Er at (0.0000, 0.0000, 0.0000), Cu at (0.0000, 0.0000, 0.2597) and Ge at (0.0000, 0.0000, 0.3988).